Computed, not measured: a geometry-optimized LiP2Au structure at the GGA-PBE level of DFT.

Energy (eV per atom): -4.354
Calculated density (g/cm3): 6.20

Lattice parameters (Å, degrees): 5.8051 5.8051 5.3951 106.57 106.57 113.51
Element x y z (fractional)
Li1 0.1956 0.8044 0.5000
Li2 0.8044 0.1956 0.0000
P1 0.4571 0.6625 0.8610
P2 0.5730 0.7858 0.3236
P3 0.6625 0.4571 0.3610
P4 0.7858 0.5730 0.8236
Au1 0.0292 0.2090 0.5841
Au2 0.2090 0.0292 0.0841